A plane-wave DFT calculation with PBE-GGA was carried out for an optimized crystal structure of KYTi2O6.

crystal system: monoclinic
theoretical density: 3.36 g/cm3
total moment: 0.00 μB per atom
raw total energy: -8.3567 eV per atom

a b c (Å): 10.753 10.017 6.103
angles (deg): 90.00 106.10 90.00
Space group C2/c (No. 15)
Inequivalent atoms, fractional coordinates:
K  0.000  0.189  0.250 (multiplicity 4)
Y  0.000  0.403  0.750 (multiplicity 4)
Ti  0.211  0.088  0.784 (multiplicity 8)
O  0.111  0.422  0.128 (multiplicity 8)
O  0.145  0.251  0.718 (multiplicity 8)
O  0.152  0.012  0.016 (multiplicity 8)